A plane-wave DFT calculation with GGA-PBE was carried out for a geometry-optimized Li12CdPd6 structure.

extended XYZ file:
```
19
Lattice="4.7848 2.7625 3.8517 -4.7848 2.7625 3.8517 0.0000 -5.5250 3.8517" Properties=species:S:1:pos:R:3 pbc="T T T"
Li -1.3850 -4.1780 4.8291
Li -4.3108 -0.8896 6.7260
Li -1.1249 -1.3877 3.6298
Li -2.9258 3.2884 4.8291
Li -0.6393 1.6680 3.6298
Li 1.7642 -0.2803 3.6298
Li -1.7642 0.2803 7.9253
Li 0.6393 -1.6680 7.9253
Li 2.9258 -3.2884 6.7260
Li 1.1249 1.3877 7.9253
Li 4.3108 0.8896 4.8291
Li 1.3850 4.1780 6.7260
Cd 0.0000 0.0000 5.7775
Pd -1.9304 -1.9232 6.1862
Pd -2.6307 0.7102 5.3688
Pd 0.7003 -2.6334 5.3688
Pd -0.7003 2.6334 6.1862
Pd 2.6307 -0.7102 6.1862
Pd 1.9304 1.9232 5.3688
```

Computed properties:
* raw total energy: -3.210 eV per atom
* energy above the most stable polymorph in this dataset: 0.000 eV per formula unit
* calculated formation energy: -574 kJ/mol of formula units
* space-group type: R-3, No. 148